PBE-GGA Ac2Sm3HoTe6, relaxed; energy = -5.1958 eV/atom; E_form (uncorrected) = -16.5 eV per formula unit; M_tot = 0.0 μB/cell; crystal system = monoclinic
1.0
9.834 -2.241 0.000
9.834 2.241 0.000
-2.006 0.000 8.922
Ac Sm Ho Te
2 3 1 6
Direct
0.166 0.166 0.333
0.834 0.834 0.667
0.174 0.174 0.838
0.500 0.500 0.500
0.826 0.826 0.162
0.500 0.500 0.000
0.007 0.007 0.761
0.338 0.338 0.405
0.339 0.339 0.932
0.661 0.661 0.068
0.662 0.662 0.595
0.993 0.993 0.239

---

PBE-GGA Ac3Sm2HoTe6, relaxed; energy = -5.1761 eV/atom; E_form (uncorrected) = -16.9 eV per formula unit; M_tot = 0.0 μB/cell; crystal system = monoclinic
1.0
10.061 -2.245 0.000
10.061 2.245 0.000
-2.525 0.000 8.955
Ac Sm Ho Te
3 2 1 6
Direct
0.000 0.000 0.000
0.331 0.331 0.665
0.669 0.669 0.335
0.332 0.332 0.164
0.668 0.668 0.836
0.000 0.000 0.500
0.159 0.159 0.593
0.170 0.170 0.073
0.497 0.497 0.268
0.503 0.503 0.732
0.830 0.830 0.927
0.841 0.841 0.407

---

PBE-GGA AcSmHoTe3, relaxed; energy = -5.0846 eV/atom; E_form (uncorrected) = -7.7 eV per formula unit; M_tot = 0.0 μB/cell; crystal system = monoclinic
1.0
8.788 0.000 0.000
0.000 4.451 0.000
-3.081 0.000 10.494
Ac Sm Ho Te
2 2 2 6
Direct
0.193 0.250 0.219
0.807 0.750 0.781
0.340 0.750 0.907
0.660 0.250 0.093
0.152 0.250 0.623
0.848 0.750 0.377
0.092 0.250 0.891
0.218 0.750 0.459
0.489 0.750 0.210
0.511 0.250 0.790
0.782 0.250 0.541
0.908 0.750 0.109

---

PBE-GGA AcSmHoTh, relaxed; energy = -5.0448 eV/atom; M_tot = 0.0 μB/cell; DFT formation energy = 0.161 eV per atom; crystal system = cubic
1.0
0.000 4.125 4.125
4.125 0.000 4.125
4.125 4.125 0.000
Ac Sm Ho Th
1 1 1 1
Direct
0.000 0.000 0.000
0.750 0.750 0.750
0.250 0.250 0.250
0.500 0.500 0.500

---

PBE-GGA AcSmHo2Tl4, relaxed; energy = -3.7512 eV/atom; M_tot = 0.0 μB/cell; DFT formation energy = -0.320 eV per atom; crystal system = trigonal
1.0
2.754 1.590 9.045
-2.754 1.590 9.045
0.000 -3.180 9.045
Ac Sm Ho Tl
1 1 2 4
Direct
0.000 0.000 0.000
0.500 0.500 0.500
0.249 0.249 0.249
0.751 0.751 0.751
0.128 0.128 0.128
0.379 0.379 0.379
0.621 0.621 0.621
0.872 0.872 0.872

---

PBE-GGA AcSm2HoTl4, relaxed; energy = -3.7800 eV/atom; M_tot = 0.0 μB/cell; DFT formation energy = -0.331 eV per atom; crystal system = trigonal
1.0
2.767 1.597 9.119
-2.767 1.597 9.119
0.000 -3.194 9.119
Ac Sm Ho Tl
1 2 1 4
Direct
0.000 0.000 0.000
0.248 0.248 0.248
0.752 0.752 0.752
0.500 0.500 0.500
0.128 0.128 0.128
0.380 0.380 0.380
0.620 0.620 0.620
0.872 0.872 0.872

---

PBE-GGA AcSm4HoTm2, relaxed; energy = -4.5220 eV/atom; M_tot = 0.0 μB/cell; DFT formation energy = 0.041 eV per atom; crystal system = monoclinic
1.0
5.729 -2.563 0.000
5.729 2.563 0.000
-4.619 0.000 9.195
Ac Sm Ho Tm
1 4 1 2
Direct
0.000 0.000 0.000
0.247 0.247 0.869
0.252 0.252 0.379
0.748 0.748 0.621
0.753 0.753 0.131
0.000 0.000 0.500
0.499 0.499 0.257
0.501 0.501 0.743

---

PBE-GGA AcSm2HoTm5, relaxed; energy = -4.2301 eV/atom; M_tot = 0.0 μB/cell; DFT formation energy = 0.268 eV per atom; crystal system = tetragonal
1.0
-4.417 4.417 7.611
4.417 -4.417 7.611
4.417 4.417 -7.611
Ac Sm Ho Tm
2 4 2 10
Direct
0.250 0.250 0.000
0.750 0.750 0.000
0.115 0.615 0.731
0.385 0.115 0.500
0.615 0.885 0.500
0.885 0.385 0.269
0.250 0.750 0.500
0.750 0.250 0.500
0.000 0.000 0.000
0.075 0.163 0.500
0.163 0.663 0.088
0.337 0.425 0.500
0.425 0.925 0.088
0.500 0.500 0.000
0.575 0.075 0.912
0.663 0.575 0.500
0.837 0.337 0.912
0.925 0.837 0.500